CrCu2Sb: optimized geometry, GGA-PBE.

calculated volume: 17.1 Å³ per atom
raw formation energy: 0.394 eV per atom

abc: 3.840 3.840 18.573
angles: 90.00 90.00 90.00
Space group I-42d (No. 122)
One atom of each set of equivalent atoms:
Cr (0.000, 0.000, 0.000) [4 per cell]
Cu (0.236, 0.250, 0.125) [8 per cell]
Sb (0.000, 0.000, 0.500) [4 per cell]